The following is a DFT calculation (PBE-GGA) of an optimized crystal structure of Tm2AlHg.

```
4
Lattice="3.575 0.000 0.000 1.787 3.096 0.000 1.787 1.032 9.209" Properties=species:S:1:pos:R:3 pbc="T T T"
Hg 0.000 0.000 0.000
Al 3.575 2.064 4.604
Tm 5.362 3.096 6.832
Tm 1.787 1.032 2.377
```

Values from the calculation:
- M_tot: 0.0 μB per formula unit
- Energy relative to the lowest polymorph listed for this composition: 145 meV per atom